# SrCoN2O

SrCoN2O after structural relaxation (PBE with a Hubbard U, Alexandria). Values from VASP.

Cell and atoms, written as Quantum ESPRESSO input:
```
&SYSTEM
  ibrav = 0, nat = 5, ntyp = 4
/
ATOMIC_SPECIES
Co 58.93 Co.upf
N 14.01 N.upf
O 16.00 O.upf
Sr 87.62 Sr.upf
ATOMIC_POSITIONS crystal
Co 0.0000 0.0000 0.0000
N 0.5000 0.0000 0.0000
N 0.0000 0.5000 0.0000
O 0.0000 0.0000 0.5000
Sr 0.5000 0.5000 0.5000
CELL_PARAMETERS angstrom
-3.1871 -0.3387 1.8516
1.6590 -2.2257 2.4485
1.0631 3.5123 2.4724
```

The total energy comes out at -5.77 eV per atom. Its crystal system is tetragonal. As for the symmetry: P4/mmm, No. 123. The magnetic moment comes out at 4.0 μB per formula unit.